# ZrTl2Cd2 (PBE-GGA, optimized geometry)
# calculated formation energy	224	meV per atom
# offset from the most stable computed form	0.003	eV/atom
data_ZrTl2Cd2
_cell_length_a 8.317
_cell_length_b 8.317
_cell_length_c 3.563
_cell_angle_alpha 90.00
_cell_angle_beta 90.00
_cell_angle_gamma 90.00
_symmetry_space_group_name_H-M 'P 4/m b m'
_symmetry_Int_Tables_number 127
_symmetry_space_group_name_Hall '-P 4 2ab'
loop_
_atom_site_label
_atom_site_type_symbol
_atom_site_fract_x
_atom_site_fract_y
_atom_site_fract_z
_atom_site_occupancy
Zr1 Zr 0.000 0.000 0.000 1
Tl1 Tl 0.146 0.354 0.000 1
Cd1 Cd 0.157 0.657 0.500 1